Record 1
An optimized crystal structure of Sr2TaVTe. Source: Alexandria, functional PBE-GGA.

The crystal system is tetragonal. The value obtained for the calculated volume is 169 Å³/cell. The calculation puts the total DFT energy (no corrections) at -23.954 eV/cell.

It has space group P4/mmm (No. 123), with a = 6.133 Å, b = 6.133 Å, c = 4.502 Å, α = 90.00°, β = 90.00° and γ = 90.00°. The distinct sites, in fractional coordinates, are Sr at (0.000, 0.500, 0.000), Ta at (0.000, 0.000, 0.000), V at (0.000, 0.000, 0.500) and Te at (0.500, 0.500, 0.500).

Record 2
An optimized crystal structure of Sr3TaTi. Source: Alexandria, functional PBE-GGA.

As for the energy relative to the elements: 143.4 kJ per mole of atoms. The crystal system is cubic. Its polymorph energy (0 for the lowest one) is 0.000 eV per atom. The value obtained for the calculated volume is 215 Å³/cell. The calculation puts the total DFT energy (no corrections) at -17.362 eV/cell.

It has space group Pm-3m (No. 221), with a = 5.987 Å, b = 5.987 Å, c = 5.987 Å, α = 90.00°, β = 90.00° and γ = 90.00°. The distinct sites, in fractional coordinates, are Sr at (0.000, 0.000, 0.500), Ta at (0.000, 0.000, 0.000) and Ti at (0.500, 0.500, 0.500).

Record 3
An optimized crystal structure of Sr3TaTi. Source: Alexandria, functional PBE-GGA.

As for the energy relative to the elements: 170.7 kJ per mole of atoms. The crystal system is cubic. Its polymorph energy (0 for the lowest one) is 0.283 eV per atom. The value obtained for the calculated volume is 185 Å³/cell. The calculation puts the total DFT energy (no corrections) at -15.947 eV/cell.

It has space group Pm-3m (No. 221), with a = 5.701 Å, b = 5.701 Å, c = 5.701 Å, α = 90.00°, β = 90.00° and γ = 90.00°. The distinct sites, in fractional coordinates, are Sr at (0.000, 0.000, 0.500), Ta at (0.500, 0.500, 0.500) and Ti at (0.000, 0.000, 0.000).

Record 4
An optimized crystal structure of SrTa2Ti. Source: Alexandria, functional PBE-GGA.

As for the energy relative to the elements: 116.9 kJ per mole of atoms. The crystal system is tetragonal. Its polymorph energy (0 for the lowest one) is 0.107 eV per atom. The value obtained for the calculated volume is 363 Å³/cell. The calculation puts the total DFT energy (no corrections) at -113.735 eV/cell.

It has space group I-42d (No. 122), with a = 4.197 Å, b = 4.197 Å, c = 20.587 Å, α = 90.00°, β = 90.00° and γ = 90.00°. The distinct sites, in fractional coordinates, are Sr at (0.000, 0.000, 0.000), Ta at (0.225, 0.750, 0.625) and Ti at (0.000, 0.000, 0.500).